Arrangement i

Entry from Alexandria via LeMat-Bulk: an optimized crystal structure of Na2BiSe (GGA-PBE).

## Properties
Calculated density = 5.344 g cm⁻³

The structure in CIF format:
```
data_Na2BiSe
_chemical_formula_sum 'Na8 Bi4 Se4'
_cell_length_a 7.459
_cell_length_b 7.459
_cell_length_c 7.459
_cell_angle_alpha 90.00
_cell_angle_beta 90.00
_cell_angle_gamma 90.00
_symmetry_space_group_name_H-M 'F m -3 m'
_symmetry_Int_Tables_number 225
_symmetry_space_group_name_Hall '-F 4 2 3'
loop_
_atom_site_label
_atom_site_type_symbol
_atom_site_fract_x
_atom_site_fract_y
_atom_site_fract_z
Na1 Na 0.250 0.250 0.250
Bi1 Bi 0.000 0.000 0.000
Se1 Se 0.000 0.000 0.500
```

Arrangement ii

Entry from Alexandria via LeMat-Bulk: an optimized crystal structure of Na2BiSe (GGA-PBE).

## Properties
Calculated density = 4.931 g cm⁻³

The structure in CIF format:
```
data_Na2BiSe
_chemical_formula_sum 'Na8 Bi4 Se4'
_cell_length_a 8.576
_cell_length_b 8.576
_cell_length_c 6.116
_cell_angle_alpha 90.00
_cell_angle_beta 90.00
_cell_angle_gamma 90.00
_symmetry_space_group_name_H-M 'I -4 2 d'
_symmetry_Int_Tables_number 122
_symmetry_space_group_name_Hall 'I -4 2bw'
loop_
_atom_site_label
_atom_site_type_symbol
_atom_site_fract_x
_atom_site_fract_y
_atom_site_fract_z
Na1 Na 0.200 0.250 0.125
Bi1 Bi 0.000 0.000 0.500
Se1 Se 0.000 0.000 0.000
```

Least stable: arrangement i

Arrangement i

Entry from Alexandria via LeMat-Bulk: an optimized crystal structure of Na2Si2Bi (GGA-PBE).

## Properties
Calculated density = 4.051 g cm⁻³

The structure in CIF format:
```
data_Na2Si2Bi
_chemical_formula_sum 'Na4 Si4 Bi2'
_cell_length_a 7.303
_cell_length_b 7.303
_cell_length_c 4.783
_cell_angle_alpha 90.00
_cell_angle_beta 90.00
_cell_angle_gamma 90.00
_symmetry_space_group_name_H-M 'P 4/m b m'
_symmetry_Int_Tables_number 127
_symmetry_space_group_name_Hall '-P 4 2ab'
loop_
_atom_site_label
_atom_site_type_symbol
_atom_site_fract_x
_atom_site_fract_y
_atom_site_fract_z
Na1 Na 0.179 0.321 0.000
Si1 Si 0.109 0.609 0.500
Bi1 Bi 0.000 0.000 0.500
```

Arrangement ii

Entry from Alexandria via LeMat-Bulk: an optimized crystal structure of Na2Si2Bi (GGA-PBE).

## Properties
Calculated density = 4.215 g cm⁻³

The structure in CIF format:
```
data_Na2Si2Bi
_chemical_formula_sum 'Na4 Si4 Bi2'
_cell_length_a 4.424
_cell_length_b 4.424
_cell_length_c 12.527
_cell_angle_alpha 90.00
_cell_angle_beta 90.00
_cell_angle_gamma 90.00
_symmetry_space_group_name_H-M 'I 4/m m m'
_symmetry_Int_Tables_number 139
_symmetry_space_group_name_Hall '-I 4 2'
loop_
_atom_site_label
_atom_site_type_symbol
_atom_site_fract_x
_atom_site_fract_y
_atom_site_fract_z
Na1 Na 0.000 0.500 0.250
Si1 Si 0.000 0.000 0.089
Bi1 Bi 0.000 0.000 0.500
```

Least stable: arrangement ii